(1)
An optimized crystal structure of TaTiO3, computed with GGA-PBE.

The structure in POSCAR format:
```
TaTiO3
1.0
7.2355 0.0000 0.0000
0.0000 2.8631 0.0000
0.0000 0.0000 5.3506
Ta Ti O
2 2 6
direct
0.2500 0.0000 0.0390
0.7500 0.0000 0.9610
0.0000 0.5000 0.5000
0.5000 0.5000 0.5000
0.0550 0.0000 0.7717
0.2500 0.5000 0.3487
0.4450 0.0000 0.7717
0.5550 0.0000 0.2283
0.7500 0.5000 0.6513
0.9450 0.0000 0.2283
```

Values from the calculation:
magnetization = 0.26 Bohr magnetons per cell
E_form (uncorrected) = -2.419 eV per atom
total DFT energy (no corrections) = -9.34 eV per atom
crystal system = orthorhombic
DOS at the Fermi energy = 0.466 states/eV per atom



(2)
An optimized crystal structure of TaTi2O, computed with GGA-PBE.

The structure in POSCAR format:
```
TaTi2O
1.0
2.6975 0.0000 0.0000
0.0000 2.6975 0.0000
0.0000 0.0000 7.4803
Ta Ti O
1 2 1
direct
0.0000 0.0000 0.0000
0.5000 0.5000 0.3163
0.5000 0.5000 0.6837
0.0000 0.0000 0.5000
```

Values from the calculation:
magnetization = 0.00 Bohr magnetons per cell
E_form (uncorrected) = -0.903 eV per atom
total DFT energy (no corrections) = -9.05 eV per atom
crystal system = tetragonal
DOS at the Fermi energy = 0.891 states/eV per atom



(3)
An optimized crystal structure of TaTi2O, computed with GGA-PBE.

The structure in POSCAR format:
```
TaTi2O
1.0
1.4643 0.8454 7.7824
-1.4643 0.8454 7.7824
0.0000 -1.6908 7.7824
Ta Ti O
1 2 1
direct
0.0000 0.0000 0.0000
0.1117 0.1117 0.1117
0.8883 0.8883 0.8883
0.5000 0.5000 0.5000
```

Values from the calculation:
magnetization = 0.00 Bohr magnetons per cell
E_form (uncorrected) = -0.955 eV per atom
total DFT energy (no corrections) = -9.10 eV per atom
crystal system = trigonal
DOS at the Fermi energy = 0.804 states/eV per atom



(4)
An optimized crystal structure of TaTi2O, computed with GGA-PBE.

The structure in POSCAR format:
```
TaTi2O
1.0
0.0000 3.0834 3.0834
3.0834 0.0000 3.0834
3.0834 3.0834 0.0000
Ta Ti O
1 2 1
direct
0.0000 0.0000 0.0000
0.2500 0.2500 0.2500
0.7500 0.7500 0.7500
0.5000 0.5000 0.5000
```

Values from the calculation:
magnetization = 0.00 Bohr magnetons per cell
E_form (uncorrected) = 0.257 eV per atom
total DFT energy (no corrections) = -7.89 eV per atom
crystal system = cubic
DOS at the Fermi energy = 0.514 states/eV per atom



(5)
An optimized crystal structure of TaTi2O6, computed with GGA-PBE.

The structure in POSCAR format:
```
TaTi2O6
1.0
5.0179 -1.8243 0.0000
5.0179 1.8243 0.0000
-3.2582 0.0000 5.6256
Ta Ti O
1 2 6
direct
0.0000 0.0000 0.0000
0.1794 0.1794 0.6208
0.8206 0.8206 0.3792
0.0253 0.0253 0.7118
0.2529 0.2529 0.3633
0.3689 0.3689 0.9204
0.6311 0.6311 0.0796
0.7471 0.7471 0.6367
0.9747 0.9747 0.2882
```

Values from the calculation:
magnetization = 1.03 Bohr magnetons per cell
E_form (uncorrected) = -2.770 eV per atom
total DFT energy (no corrections) = -9.15 eV per atom
crystal system = monoclinic
DOS at the Fermi energy = 0.489 states/eV per atom



(6)
An optimized crystal structure of Ta2TiO6, computed with GGA-PBE.

The structure in POSCAR format:
```
Ta2TiO6
1.0
4.5614 -3.4223 0.0000
4.5614 3.4223 0.0000
-3.1127 0.0000 6.7901
Ta Ti O
4 2 12
direct
0.1705 0.1705 0.1725
0.1791 0.1791 0.6746
0.8209 0.8209 0.3254
0.8295 0.8295 0.8275
0.5000 0.5000 0.0000
0.5000 0.5000 0.5000
0.0661 0.0661 0.3703
0.1248 0.5333 0.3293
0.1955 0.8045 0.0000
0.2607 0.2607 0.9674
0.3987 0.3987 0.6942
0.4667 0.8752 0.6707
0.5333 0.1248 0.3293
0.6013 0.6013 0.3058
0.7393 0.7393 0.0326
0.8045 0.1955 0.0000
0.8752 0.4667 0.6707
0.9339 0.9339 0.6297
```

Values from the calculation:
magnetization = 2.96 Bohr magnetons per cell
E_form (uncorrected) = -2.766 eV per atom
total DFT energy (no corrections) = -9.58 eV per atom
crystal system = monoclinic
polymorph energy (0 for the lowest one) = 0.005 eV per atom
DOS at the Fermi energy = 0.421 states/eV per atom